Computed, not measured: an optimized crystal structure of VS2F5 at the PBE+U level of DFT.

Properties
Crystal system = triclinic
Total DFT energy (no corrections) = -39.7 eV per formula unit

a = 3.9136 Å, b = 6.5869 Å, c = 6.5141 Å
α = 98.49°, β = 69.65°, γ = 73.36°
Each line ends with the local moment (μB).
Positions (direct):
1 V 0.9222 0.9671 0.0167  1.15
2 S 0.9433 0.4688 0.5126  0.00
3 S 0.3506 0.5527 0.3491  0.00
4 F 0.7238 0.0288 0.3217  -0.04
5 F 0.1087 0.6685 0.9480  0.01
6 F 0.6909 0.3340 0.0971  0.00
7 F 0.0698 0.9989 0.7339  -0.04
8 F 0.4138 0.9813 0.0209  0.01